(1)
# LiMnW2S (GGA-PBE, relaxed)
data_LiMnW2S
_space_group_name_H-M_alt 'P 4/m m m'
_space_group_IT_number 123
_space_group_name_Hall '-P 4 2'
_cell_length_a 4.437
_cell_length_b 4.437
_cell_length_c 4.076
_cell_angle_alpha 90.00
_cell_angle_beta 90.00
_cell_angle_gamma 90.00
loop_
_atom_site_label
_atom_site_fract_x
_atom_site_fract_y
_atom_site_fract_z
Li1 0.000 0.000 0.000
Mn1 0.500 0.500 0.000
W1 0.000 0.500 0.500
S1 0.500 0.500 0.500
# **Uncorrected formation energy**: 0.79 eV per atom

---

(2)
# Cu6Ni3Rh (GGA-PBE, relaxed)
data_Cu6Ni3Rh
_space_group_name_H-M_alt 'C 1 2/m 1'
_space_group_IT_number 12
_space_group_name_Hall '-C 2y'
_cell_length_a 8.354
_cell_length_b 4.736
_cell_length_c 6.715
_cell_angle_alpha 90.00
_cell_angle_beta 112.36
_cell_angle_gamma 90.00
loop_
_atom_site_label
_atom_site_fract_x
_atom_site_fract_y
_atom_site_fract_z
Cu1 0.148 0.000 0.431
Cu2 0.186 0.248 0.803
Ni1 0.000 0.500 0.500
Ni2 0.067 0.500 0.192
Rh1 0.000 0.000 0.000
# **Energy of formation**: 0.156 eV per atom

---

(3)
# Ta2AgCl8 (GGA-PBE, relaxed)
data_Ta2AgCl8
_space_group_name_H-M_alt 'C 1 2/m 1'
_space_group_IT_number 12
_space_group_name_Hall '-C 2y'
_cell_length_a 15.139
_cell_length_b 6.523
_cell_length_c 6.942
_cell_angle_alpha 90.00
_cell_angle_beta 114.83
_cell_angle_gamma 90.00
loop_
_atom_site_label
_atom_site_fract_x
_atom_site_fract_y
_atom_site_fract_z
Ta1 0.247 0.000 0.005
Ag1 0.000 0.500 0.000
Cl1 0.134 0.253 0.749
Cl2 0.151 0.000 0.189
Cl3 0.170 0.500 0.234
# **Uncorrected formation energy**: -1.02 eV per atom

---

(4)
# Li2SmCd9 (GGA-PBE, relaxed)
data_Li2SmCd9
_space_group_name_H-M_alt 'I 41/a m d'
_space_group_IT_number 141
_cell_length_a 11.765
_cell_length_b 11.765
_cell_length_c 7.461
_cell_angle_alpha 90.00
_cell_angle_beta 90.00
_cell_angle_gamma 90.00
loop_
_space_group_symop_operation_xyz
'x,y,z'
'-x,-y,-z'
'-y+1/4,x+3/4,z+1/4'
'y+1/4,-x+3/4,-z+1/4'
'-x+1/2,-y,z+1/2'
'x+1/2,y,-z+1/2'
'y+1/4,-x+1/4,z+3/4'
'-y+1/4,x+1/4,-z+3/4'
'x,-y,-z'
'-x,y,z'
'-y+1/4,-x+1/4,-z+3/4'
'y+1/4,x+1/4,z+3/4'
'-x+1/2,y,-z+1/2'
'x+1/2,-y,z+1/2'
'y+1/4,x+3/4,-z+1/4'
'-y+1/4,-x+3/4,z+1/4'
'x+1/2,y+1/2,z+1/2'
'-x+1/2,-y+1/2,-z+1/2'
'-y+3/4,x+1/4,z+3/4'
'y+3/4,-x+1/4,-z+3/4'
'-x,-y+1/2,z'
'x,y+1/2,-z'
'y+3/4,-x+3/4,z+1/4'
'-y+3/4,x+3/4,-z+1/4'
'x+1/2,-y+1/2,-z+1/2'
'-x+1/2,y+1/2,z+1/2'
'-y+3/4,-x+3/4,-z+1/4'
'y+3/4,x+3/4,z+1/4'
'-x,y+1/2,-z'
'x,-y+1/2,z'
'y+3/4,x+1/4,-z+3/4'
'-y+3/4,-x+1/4,z+3/4'
loop_
_atom_site_label
_atom_site_fract_x
_atom_site_fract_y
_atom_site_fract_z
Li1 0.000 0.000 0.000
Sm1 0.000 0.250 0.375
Cd1 0.000 0.250 0.875
Cd2 0.121 0.052 0.678
# **Energy of formation**: -0.204 eV per atom

---

(5)
# Rb2PuSiS4 (GGA-PBE, relaxed)
data_Rb2PuSiS4
_space_group_name_H-M_alt 'I m m a'
_space_group_IT_number 74
_space_group_name_Hall '-I 2b 2'
_cell_length_a 8.425
_cell_length_b 8.449
_cell_length_c 11.812
_cell_angle_alpha 90.00
_cell_angle_beta 90.00
_cell_angle_gamma 90.00
loop_
_atom_site_label
_atom_site_fract_x
_atom_site_fract_y
_atom_site_fract_z
Rb1 0.000 0.000 0.000
Rb2 0.250 0.250 0.250
Pu1 0.250 0.250 0.750
Si1 0.000 0.000 0.500
S1 0.000 0.041 0.725
S2 0.206 0.250 0.524
# **Uncorrected formation energy**: -0.94 eV per atom

---

(6)
# HfSn2F (GGA-PBE, relaxed)
data_HfSn2F
_space_group_name_H-M_alt 'F m -3 m'
_space_group_IT_number 225
_space_group_name_Hall '-F 4 2 3'
_cell_length_a 6.999
_cell_length_b 6.999
_cell_length_c 6.999
_cell_angle_alpha 90.00
_cell_angle_beta 90.00
_cell_angle_gamma 90.00
loop_
_atom_site_label
_atom_site_fract_x
_atom_site_fract_y
_atom_site_fract_z
Hf1 0.000 0.000 0.000
Sn1 0.250 0.250 0.250
F1 0.000 0.000 0.500
# **Uncorrected formation energy**: -0.38 eV per atom
# **Energy above the most stable polymorph in this dataset**: 0 meV per atom

---

(7)
# TbCu4Pt6 (GGA-PBE, relaxed)
data_TbCu4Pt6
_space_group_name_H-M_alt 'I -4 2 m'
_space_group_IT_number 121
_space_group_name_Hall 'I -4 2'
_cell_length_a 6.195
_cell_length_b 6.195
_cell_length_c 9.637
_cell_angle_alpha 90.00
_cell_angle_beta 90.00
_cell_angle_gamma 90.00
loop_
_atom_site_label
_atom_site_fract_x
_atom_site_fract_y
_atom_site_fract_z
Tb1 0.000 0.000 0.000
Cu1 0.148 0.148 0.589
Pt1 0.000 0.500 0.000
Pt2 0.231 0.231 0.317
# **Energy of formation**: -0.131 eV per atom

---

(8)
# La3Pm2Pr8 (GGA-PBE, relaxed)
data_La3Pm2Pr8
_space_group_name_H-M_alt 'C 1 2/m 1'
_space_group_IT_number 12
_space_group_name_Hall '-C 2y'
_cell_length_a 13.582
_cell_length_b 12.039
_cell_length_c 6.320
_cell_angle_alpha 90.00
_cell_angle_beta 112.93
_cell_angle_gamma 90.00
loop_
_atom_site_label
_atom_site_fract_x
_atom_site_fract_y
_atom_site_fract_z
La1 0.000 0.000 0.000
La2 0.000 0.238 0.500
Pm1 0.209 0.500 0.859
Pr1 0.057 0.500 0.287
Pr2 0.158 0.000 0.546
Pr3 0.175 0.255 0.177
# **Energy above the most stable polymorph in this dataset**: 0 meV per atom
# **Energy of formation**: 0.134 eV per atom

---

(9)
Y12Tc3H5 | GGA-PBE | relaxed

CIF file:
```
data_Y12Tc3H5
_space_group_name_H-M_alt 'I a -3 d'
_space_group_IT_number 230
_space_group_name_Hall '-I 4bd 2c 3'
_cell_length_a 15.167
_cell_length_b 15.167
_cell_length_c 15.167
_cell_angle_alpha 90.00
_cell_angle_beta 90.00
_cell_angle_gamma 90.00
loop_
_atom_site_label
_atom_site_fract_x
_atom_site_fract_y
_atom_site_fract_z
Y1 0.033 0.061 0.656
Tc1 0.000 0.250 0.125
H1 0.000 0.000 0.000
H2 0.000 0.250 0.375
```

---

(10)
# Ba4InRh (GGA-PBE, relaxed)
data_Ba4InRh
_space_group_name_H-M_alt 'C 1 2/c 1'
_space_group_IT_number 15
_space_group_name_Hall '-C 2yc'
_cell_length_a 9.996
_cell_length_b 14.846
_cell_length_c 6.991
_cell_angle_alpha 90.00
_cell_angle_beta 108.07
_cell_angle_gamma 90.00
loop_
_atom_site_label
_atom_site_fract_x
_atom_site_fract_y
_atom_site_fract_z
Ba1 0.110 0.162 0.046
Ba2 0.209 0.423 0.382
In1 0.000 0.369 0.750
Rh1 0.000 0.000 0.250
# **Energy above the most stable polymorph in this dataset**: 0 meV per atom
# **Energy of formation**: -0.235 eV per atom

---

(11)
# La2PaS5 (GGA-PBE, relaxed)
data_La2PaS5
_space_group_name_H-M_alt 'C m c m'
_space_group_IT_number 63
_space_group_name_Hall '-C 2c 2'
_cell_length_a 5.441
_cell_length_b 14.072
_cell_length_c 13.625
_cell_angle_alpha 90.00
_cell_angle_beta 90.00
_cell_angle_gamma 90.00
loop_
_atom_site_label
_atom_site_fract_x
_atom_site_fract_y
_atom_site_fract_z
La1 0.000 0.144 0.064
Pa1 0.000 0.188 0.750
S1 0.000 0.049 0.619
S2 0.000 0.262 0.250
S3 0.000 0.299 0.583
# **Uncorrected formation energy**: -1.92 eV per atom
# **Energy above the most stable polymorph in this dataset**: 110 meV per atom

---

(12)
# BaErPu4N8 (GGA-PBE, relaxed)
data_BaErPu4N8
_space_group_name_H-M_alt 'R 3 m'
_space_group_IT_number 160
_space_group_name_Hall 'R 3 -2"'
_cell_length_a 6.9392
_cell_length_b 6.9392
_cell_length_c 16.8679
_cell_angle_alpha 90.00
_cell_angle_beta 90.00
_cell_angle_gamma 120.00
loop_
_atom_site_label
_atom_site_fract_x
_atom_site_fract_y
_atom_site_fract_z
Ba1 0.0000 0.0000 0.0000
Er1 0.0000 0.0000 0.6224
Pu1 0.0000 0.0000 0.2427
Pu2 0.1684 0.3368 0.4554
N1 0.0000 0.0000 0.3849
N2 0.0000 0.0000 0.8461
N3 0.0640 0.5320 0.3890
N4 0.1811 0.3621 0.1965
# **Uncorrected formation energy**: -1.04 eV per atom

---

Calculated DFT total energy in order - -7.43, -4.77, -4.78, -1.60, -5.72, -5.34, -5.34, -4.68, -6.46, -3.20, -6.92, -10.36 eV/atom